# 1
Entry from the Alexandria database: an optimized crystal structure of AlCr2Si (PBEsol).

Properties
Space group   No. 35
Crystal system   orthorhombic

Lattice parameters (Å, degrees): 2.5489 2.5489 7.9875 90.00 90.00 105.46
With the nearest neighbours (Å) after each atom.
Atoms (fractional coordinates):
Cr: 0.0000 0.0000 0.9885  6 Cr 2.44-2.55, 2 Al 2.51
Cr: 0.5000 0.5000 0.7516  2 Si 2.39, 6 Cr 2.44-2.55
Si: 0.0000 0.0000 0.5229  2 Cr 2.39, 4 Si 2.55
Al: 0.5000 0.5000 0.2370  2 Cr 2.51, 4 Al 2.55, 2 Si 2.76

***

# 2
Entry from the Alexandria database: an optimized crystal structure of AlCr2Si (PBEsol).

Properties
Space group   No. 6
Crystal system   monoclinic

Lattice parameters (Å, degrees): 2.5319 4.1573 4.5872 90.00 96.69 90.00
With the nearest neighbours (Å) after each atom.
Atoms (fractional coordinates):
Cr: 0.9495 0.0000 0.9802  2 Si 2.41-2.56, 4 Cr 2.53, 4 Al 2.54-2.68
Cr: 0.7915 0.5000 0.2739  3 Al 2.43-2.67, 4 Si 2.50-2.70, 4 Cr 2.53
Si: 0.4114 0.0000 0.4712  6 Cr 2.41-2.70, 2 Al 2.52, 2 Si 2.53
Al: 0.3476 0.5000 0.7747  7 Cr 2.43-2.68, 2 Si 2.52, 2 Al 2.53

***

# 3
Entry from the Alexandria database: an optimized crystal structure of AlCrSi (PBEsol).

Properties
Space group   No. 107
Crystal system   tetragonal

Lattice parameters (Å, degrees): 3.0485 3.0485 4.5936 109.38 109.38 90.00
With the nearest neighbours (Å) after each atom.
Atoms (fractional coordinates):
Cr: 0.6765 0.6765 0.3530  4 Si 2.45, 5 Al 2.57-2.65
Si: 0.3206 0.3206 0.6411  4 Cr 2.45, 5 Al 2.58-2.61
Al: 0.0029 0.0029 0.0059  5 Cr 2.57-2.65, 5 Si 2.58-2.61

***

# 4
Entry from the Alexandria database: an optimized crystal structure of AlCrSi2 (PBEsol).

Properties
Space group   No. 123
Crystal system   tetragonal

Lattice parameters (Å, degrees): 3.6455 3.7707 3.7707 90.00 90.00 90.00
With the nearest neighbours (Å) after each atom.
Atoms (fractional coordinates):
Cr: 0.5000 0.0000 0.0000  8 Si 2.62, 4 Al 2.67
Si: 0.0000 0.0000 0.5000  4 Cr 2.62, 4 Al 2.62, 4 Si 2.67
Si: 0.0000 0.5000 0.0000  4 Al 2.62, 4 Cr 2.62, 4 Si 2.67
Al: 0.5000 0.5000 0.5000  8 Si 2.62, 4 Cr 2.67

***

# 5
Entry from the Alexandria database: an optimized crystal structure of Al2CrSi (PBEsol).

Properties
Space group   No. 123
Crystal system   tetragonal

Lattice parameters (Å, degrees): 3.7189 3.8032 3.8032 90.00 90.00 90.00
With the nearest neighbours (Å) after each atom.
Atoms (fractional coordinates):
Cr: 0.5000 0.5000 0.5000  8 Al 2.66, 4 Si 2.69
Si: 0.5000 0.0000 0.0000  8 Al 2.66, 4 Cr 2.69
Al: 0.0000 0.0000 0.5000  4 Cr 2.66, 4 Si 2.66, 4 Al 2.69
Al: 0.0000 0.5000 0.0000  4 Cr 2.66, 4 Si 2.66, 4 Al 2.69

***

# 6
Entry from the Alexandria database: an optimized crystal structure of AlCr6Si (PBEsol).

Properties
Space group   No. 200
Crystal system   cubic

Lattice parameters (Å, degrees): 4.5025 4.5025 4.5025 90.00 90.00 90.00
With the nearest neighbours (Å) after each atom.
Atoms (fractional coordinates):
Cr: 0.0000 0.5000 0.7545  2 Cr 2.21-2.29
Cr: 0.5000 0.2455 0.0000  2 Cr 2.21-2.29
Cr: 0.7545 0.0000 0.5000  2 Cr 2.21-2.29
Cr: 0.0000 0.5000 0.2455  2 Cr 2.21-2.29
Cr: 0.5000 0.7545 0.0000  2 Cr 2.21-2.29
Cr: 0.2455 0.0000 0.5000  2 Cr 2.21-2.29
Si: 0.0000 0.0000 0.0000  12 Cr 2.51
Al: 0.5000 0.5000 0.5000  12 Cr 2.53

***

| no. | total magnetization (Bohr magnetons per cell) | formation energy (no corrections) (eV/atom) |
| --- | --- | --- |
| 1 | 0.00 | 0.11 |
| 2 | 0.00 | -0.05 |
| 3 | 0.51 | -0.26 |
| 4 | 1.91 | 0.09 |
| 5 | 2.05 | -0.01 |
| 6 | 0.00 | -0.24 |